# 1
Material: SrCrPt
Method: DFT, PBE
State: optimized geometry

a = 6.8138 Å, b = 6.8138 Å, c = 6.8138 Å
α = 90.00°, β = 90.00°, γ = 90.00°
Last column: nearest neighbours and their distance in Å.
Space group F-43m (No. 216)
Unique sites:
Sr 0.0000 0.0000 0.0000 x4  4 Pt 2.95
Cr 0.0000 0.0000 0.5000 x4  4 Pt 2.95
Pt 0.2500 0.2500 0.2500 x4  4 Cr 2.95, 4 Sr 2.95

Formation enthalpy at 0 K ... 115 meV per atom
V ... 316 Å³/cell
E above lowest polymorph ... 29.2 kJ/mol of atoms

---

# 2
Material: SrCrPt
Method: DFT, PBE
State: optimized geometry

a = 11.3067 Å, b = 4.3238 Å, c = 7.4792 Å
α = 90.00°, β = 125.71°, γ = 90.00°
Last column: nearest neighbours and their distance in Å.
Space group C2/m (No. 12)
Unique sites:
Sr 0.0744 0.0000 0.3118 x4  5 Pt 3.24-3.27, 4 Cr 3.32-3.61
Cr 0.2220 0.5000 0.0998 x4  3 Pt 2.60-2.65, 2 Cr 2.90
Pt 0.1387 0.5000 0.6869 x4  3 Cr 2.60-2.65, 1 Pt 2.72

Formation enthalpy at 0 K ... -164 meV per atom
V ... 297 Å³/cell
E above lowest polymorph ... 2.2 kJ/mol of atoms